DFT (PBE) results for a geometry-optimized Fe4Te3S structure.

Properties
Relative energy among the computed polymorphs, meV per atom: 35
Mass density, g/cm3: 6.2
Energy, eV per atom: -6.04
Total moment, μB per formula unit: 7.30
Formation energy without anion corrections, eV per atom: -0.12

a b c (Å): 7.558 7.558 3.595
angles (deg): 90.00 90.00 123.38
Each line ends with the local moment (μB).
Element x y z (fractional)
1 Fe 0.631 0.873 0.500  1.82
2 Fe 0.381 0.619 0.000  2.00
3 Fe 0.127 0.369 0.500  1.82
4 Fe 0.878 0.122 0.000  1.66
5 Te 0.992 0.511 0.000  -0.05
6 Te 0.489 0.008 0.000  -0.05
7 Te 0.519 0.481 0.500  -0.05
8 S 0.982 0.018 0.500  -0.03